--- one ---
# AsC3Br

AsC3Br after structural relaxation (GGA-PBE, Alexandria).

Properties
density of states at the Fermi level: 0.95 states/eV/atom

Geometry as CIF:
```
data_AsC3Br
_chemical_formula_sum 'As1 C3 Br1'
_symmetry_space_group_name_H-M 'P m -3 m'
_symmetry_Int_Tables_number 221
_symmetry_space_group_name_Hall '-P 4 2 3'
_cell_length_a 4.018
_cell_length_b 4.018
_cell_length_c 4.018
_cell_angle_alpha 90.00
_cell_angle_beta 90.00
_cell_angle_gamma 90.00
loop_
_atom_site_label
_atom_site_type_symbol
_atom_site_fract_x
_atom_site_fract_y
_atom_site_fract_z
_atom_site_occupancy
As1 As 0.000 0.000 0.000 1
C1 C 0.000 0.000 0.500 1
Br1 Br 0.500 0.500 0.500 1
```

---

--- two ---
# AsC3Br

AsC3Br after structural relaxation (GGA-PBE, Alexandria).

Properties
density of states at the Fermi level: 1.03 states/eV/atom

Geometry as CIF:
```
data_AsC3Br
_chemical_formula_sum 'As1 C3 Br1'
_symmetry_space_group_name_H-M 'P m -3 m'
_symmetry_Int_Tables_number 221
_symmetry_space_group_name_Hall '-P 4 2 3'
_cell_length_a 4.048
_cell_length_b 4.048
_cell_length_c 4.048
_cell_angle_alpha 90.00
_cell_angle_beta 90.00
_cell_angle_gamma 90.00
loop_
_atom_site_label
_atom_site_type_symbol
_atom_site_fract_x
_atom_site_fract_y
_atom_site_fract_z
_atom_site_occupancy
As1 As 0.000 0.000 0.000 1
C1 C 0.000 0.500 0.500 1
Br1 Br 0.500 0.500 0.500 1
```

---

Result of the stability comparison: one is the most stable of them.

---

--- one ---
# As3CBr

As3CBr after structural relaxation (GGA-PBE, Alexandria).

Properties
density of states at the Fermi level: 1.06 states/eV/atom

Geometry as CIF:
```
data_As3CBr
_chemical_formula_sum 'As3 C1 Br1'
_symmetry_space_group_name_H-M 'P m -3 m'
_symmetry_Int_Tables_number 221
_symmetry_space_group_name_Hall '-P 4 2 3'
_cell_length_a 4.522
_cell_length_b 4.522
_cell_length_c 4.522
_cell_angle_alpha 90.00
_cell_angle_beta 90.00
_cell_angle_gamma 90.00
loop_
_atom_site_label
_atom_site_type_symbol
_atom_site_fract_x
_atom_site_fract_y
_atom_site_fract_z
_atom_site_occupancy
As1 As 0.000 0.000 0.500 1
C1 C 0.000 0.000 0.000 1
Br1 Br 0.500 0.500 0.500 1
```

---

--- two ---
# As3CBr

As3CBr after structural relaxation (GGA-PBE, Alexandria).

Properties
density of states at the Fermi level: 1.22 states/eV/atom

Geometry as CIF:
```
data_As3CBr
_chemical_formula_sum 'As3 C1 Br1'
_symmetry_space_group_name_H-M 'P m -3 m'
_symmetry_Int_Tables_number 221
_symmetry_space_group_name_Hall '-P 4 2 3'
_cell_length_a 5.084
_cell_length_b 5.084
_cell_length_c 5.084
_cell_angle_alpha 90.00
_cell_angle_beta 90.00
_cell_angle_gamma 90.00
loop_
_atom_site_label
_atom_site_type_symbol
_atom_site_fract_x
_atom_site_fract_y
_atom_site_fract_z
_atom_site_occupancy
As1 As 0.000 0.000 0.500 1
C1 C 0.500 0.500 0.500 1
Br1 Br 0.000 0.000 0.000 1
```

---

Result of the stability comparison: one is the most stable of them.